This record from Alexandria describes Ta2VPd after structural relaxation. The functional is PBE-GGA.

Results
The volume is 16.3 Å³/atom. The value obtained for the formation energy from the elements is -140.1 meV/atom. The density is 13.2 g cm⁻³.

abc: 3.1810 3.1810 6.4492
angles: 90.00 90.00 90.00
Positions (direct):
Ta 0.0000 0.0000 0.7690
Ta 0.0000 0.0000 0.2310
V 0.5000 0.5000 0.0000
Pd 0.5000 0.5000 0.5000

=====

This record from Alexandria describes Al2IrW after structural relaxation. The functional is PBE-GGA.

Results
The polymorph energy (0 for the lowest one) comes out at 0.054 eV per atom. The volume is 14.9 Å³/atom. The value obtained for the formation energy from the elements is -330.3 meV/atom. The density is 12.0 g cm⁻³.

abc: 4.9428 4.9428 4.6114
angles: 72.84 72.84 33.75
Positions (direct):
Al 0.9962 0.9962 0.0388
Al 0.7587 0.7587 0.7042
W 0.2421 0.2421 0.2037
Ir 0.5029 0.5029 0.5533

=====

This record from Alexandria describes Pa2Ag4S5 after structural relaxation. The functional is PBE-GGA.

Results
The uncorrected formation energy is -619.2 meV per atom. The volume is 22.1 Å³/atom. The density is 7.2 g cm⁻³.

abc: 4.0368 4.0368 17.4002
angles: 83.34 83.34 60.00
Positions (direct):
S 0.7754 0.7754 0.6737
S 0.5000 0.5000 0.5000
S 0.3688 0.3688 0.8937
S 0.2246 0.2246 0.3263
S 0.6312 0.6312 0.1063
Ag 0.5842 0.5842 0.2474
Ag 0.3105 0.3105 0.0686
Ag 0.6895 0.6895 0.9314
Ag 0.4158 0.4158 0.7526
Pa 0.8610 0.8610 0.4171
Pa 0.1390 0.1390 0.5829

=====

This record from Alexandria describes KNaInSb after structural relaxation. The functional is PBE-GGA.

Results
The uncorrected formation energy is -215.6 meV per atom. The volume is 31.5 Å³/atom. The density is 3.9 g cm⁻³.

abc: 5.6253 5.6253 5.6253
angles: 60.00 60.00 60.00
Positions (direct):
K 0.2500 0.2500 0.2500
Sb 0.7500 0.7500 0.7500
In 0.0000 0.0000 0.0000
Na 0.5000 0.5000 0.5000

=====

This record from Alexandria describes Tb2Ho2Cu after structural relaxation. The functional is PBE-GGA.

Results
The volume is 27.4 Å³/atom. The value obtained for the formation energy from the elements is -79.1 meV/atom. The density is 8.6 g cm⁻³.

abc: 3.4919 3.4919 11.4868
angles: 98.74 98.74 90.00
Positions (direct):
Cu 0.0000 0.0000 0.0000
Ho 0.4245 0.4245 0.8490
Ho 0.5755 0.5755 0.1510
Tb 0.1939 0.1939 0.3878
Tb 0.8061 0.8061 0.6122

=====

This record from Alexandria describes Sr3Fe5N12 after structural relaxation. The functional is PBE-GGA.

Results
The uncorrected formation energy is 162.3 meV per atom. The volume is 12.1 Å³/atom. The density is 4.9 g cm⁻³.

abc: 10.7884 10.7884 10.7884
angles: 109.47 109.47 109.47
Positions (direct):
Sr 0.6250 0.3750 0.7500
Sr 0.1250 0.8750 0.7500
Sr 0.8750 0.7500 0.1250
Sr 0.2500 0.6250 0.8750
Sr 0.2500 0.1250 0.3750
Sr 0.7500 0.8750 0.6250
Sr 0.1250 0.2500 0.8750
Sr 0.7500 0.3750 0.1250
Sr 0.6250 0.2500 0.3750
Sr 0.3750 0.6250 0.2500
Sr 0.8750 0.1250 0.2500
Sr 0.3750 0.7500 0.6250
N 0.1900 0.1063 0.0046
N 0.3100 0.4954 0.3937
N 0.1063 0.9162 0.1017
N 0.0046 0.3983 0.3146
N 0.6900 0.5046 0.6063
N 0.1854 0.4954 0.6017
N 0.6017 0.9954 0.1854
N 0.8100 0.9162 0.3146
N 0.6900 0.1854 0.5838
N 0.3146 0.4162 0.8100
N 0.4954 0.1854 0.1017
N 0.9954 0.6017 0.6854
N 0.6854 0.5838 0.1900
N 0.3937 0.3983 0.5838
N 0.0046 0.6063 0.1900
N 0.4162 0.3146 0.3100
N 0.6063 0.6017 0.4162
N 0.5838 0.6854 0.6900
N 0.3937 0.9954 0.3100
N 0.3983 0.0046 0.8146
N 0.8937 0.0838 0.8983
N 0.8983 0.5838 0.8937
N 0.1900 0.0838 0.6854
N 0.1854 0.6900 0.0838
N 0.5046 0.8146 0.8983
N 0.5838 0.8983 0.3937
N 0.8100 0.8937 0.9954
N 0.9162 0.1063 0.6017
N 0.8983 0.3146 0.5046
N 0.6063 0.0046 0.6900
N 0.9162 0.8100 0.8146
N 0.0838 0.8937 0.3983
N 0.8146 0.3100 0.9162
N 0.3146 0.8983 0.0046
N 0.1017 0.4162 0.1063
N 0.8937 0.8100 0.4954
N 0.9954 0.3937 0.8100
N 0.3983 0.3937 0.0838
N 0.0838 0.1900 0.1854
N 0.1063 0.1900 0.5046
N 0.3100 0.8146 0.4162
N 0.4162 0.1017 0.6063
N 0.8146 0.5046 0.3983
N 0.6017 0.6063 0.9162
N 0.4954 0.3100 0.8937
N 0.1017 0.6854 0.4954
N 0.5046 0.6900 0.1063
N 0.6854 0.1017 0.9954
Fe 0.3750 0.1250 0.7500
Fe 0.2500 0.3750 0.6250
Fe 0.5000 0.0000 0.5000
Fe 0.6250 0.7500 0.8750
Fe 0.0000 0.5000 0.0000
Fe 0.1250 0.3750 0.2500
Fe 0.3750 0.2500 0.1250
Fe 0.1250 0.7500 0.3750
Fe 0.0000 0.5000 0.5000
Fe 0.5000 0.5000 0.0000
Fe 0.7500 0.6250 0.3750
Fe 0.6250 0.8750 0.2500
Fe 0.0000 0.0000 0.0000
Fe 0.8750 0.2500 0.6250
Fe 0.8750 0.6250 0.7500
Fe 0.5000 0.0000 0.0000
Fe 0.5000 0.5000 0.5000
Fe 0.2500 0.8750 0.1250
Fe 0.7500 0.1250 0.8750
Fe 0.0000 0.0000 0.5000

=====

This record from Alexandria describes Ca2SbN3 after structural relaxation. The functional is PBE-GGA.

Results
The uncorrected formation energy is -413.9 meV per atom. The volume is 16.5 Å³/atom. The density is 4.1 g cm⁻³.

abc: 6.2650 6.2650 12.2183
angles: 88.16 88.16 124.25
Positions (direct):
Ca 0.9016 0.6549 0.4234
Ca 0.9632 0.5611 0.8662
Ca 0.0368 0.4389 0.1338
Ca 0.0984 0.3451 0.5766
Ca 0.5611 0.9632 0.3662
Ca 0.4389 0.0368 0.6338
Ca 0.3451 0.0984 0.0766
Ca 0.6549 0.9016 0.9234
Sb 0.2718 0.2592 0.8442
Sb 0.2592 0.2718 0.3442
Sb 0.7408 0.7282 0.6558
Sb 0.7282 0.7408 0.1558
N 0.2936 0.0770 0.4645
N 0.4048 0.5952 0.7500
N 0.7064 0.9230 0.5355
N 0.5952 0.4048 0.2500
N 0.0770 0.2936 0.9645
N 0.9582 0.0418 0.2500
N 0.1772 0.5226 0.3839
N 0.8228 0.4774 0.6161
N 0.5226 0.1772 0.8839
N 0.9230 0.7064 0.0355
N 0.0418 0.9582 0.7500
N 0.4774 0.8228 0.1161

=====

This record from Alexandria describes TcNi3As after structural relaxation. The functional is PBE-GGA.

Results
The polymorph energy (0 for the lowest one) comes out at 0.000 eV per atom. The volume is 15.9 Å³/atom. The value obtained for the formation energy from the elements is 789.8 meV/atom. The density is 7.3 g cm⁻³.

abc: 4.3018 4.3018 4.3018
angles: 90.00 90.00 90.00
Positions (direct):
As 0.0000 0.0000 0.0000
Ni 0.0000 0.0000 0.5000
Ni 0.5000 0.0000 0.0000
Ni 0.0000 0.5000 0.0000
Tc 0.5000 0.5000 0.5000